1 | FeW3Au after structural relaxation, computed with PBE-GGA.

Cell and atoms, written as POSCAR:
```
FeW3Au
1.0
4.458 0.000 0.000
0.000 4.458 0.000
0.000 0.000 4.458
Fe W Au
1 3 1
Direct
0.000 0.000 0.000
0.000 0.000 0.500
0.000 0.500 0.000
0.500 0.000 0.000
0.500 0.500 0.500
```

Calculated values
As for the crystal system: cubic.

***

2 | FeW3Au after structural relaxation, computed with PBE-GGA.

Cell and atoms, written as POSCAR:
```
FeW3Au
1.0
4.786 0.000 0.000
0.000 4.786 0.000
0.000 0.000 4.786
Fe W Au
1 3 1
Direct
0.000 0.000 0.000
0.000 0.500 0.500
0.500 0.000 0.500
0.500 0.500 0.000
0.500 0.500 0.500
```

Calculated values
As for the crystal system: cubic.

***

Least stable = 2

***

1 | Y4FeAu after structural relaxation, computed with PBE-GGA.

Cell and atoms, written as POSCAR:
```
Y4FeAu
1.0
0.000 4.316 4.316
4.316 0.000 4.316
4.316 4.316 0.000
Y Fe Au
4 1 1
Direct
0.125 0.125 0.125
0.125 0.125 0.625
0.125 0.625 0.125
0.625 0.125 0.125
0.500 0.500 0.500
0.750 0.750 0.750
```

Calculated values
As for the crystal system: cubic.

***

2 | Y4FeAu after structural relaxation, computed with PBE-GGA.

Cell and atoms, written as POSCAR:
```
Y4FeAu
1.0
4.456 -6.519 0.000
4.456 6.519 0.000
-3.108 0.000 5.348
Y Fe Au
8 2 2
Direct
0.058 0.711 0.914
0.217 0.350 0.693
0.289 0.942 0.586
0.350 0.217 0.193
0.650 0.783 0.807
0.711 0.058 0.414
0.783 0.650 0.307
0.942 0.289 0.086
0.001 0.999 0.250
0.999 0.001 0.750
0.368 0.632 0.250
0.632 0.368 0.750
```

Calculated values
As for the crystal system: monoclinic.

***

Least stable = 1

***

1 | YFeAu3 after structural relaxation, computed with PBE-GGA.

Cell and atoms, written as POSCAR:
```
YFeAu3
1.0
4.836 0.000 0.000
0.000 4.836 0.000
0.000 0.000 4.836
Y Fe Au
1 1 3
Direct
0.000 0.000 0.000
0.500 0.500 0.500
0.000 0.500 0.500
0.500 0.000 0.500
0.500 0.500 0.000
```

Calculated values
As for the crystal system: cubic.

***

2 | YFeAu3 after structural relaxation, computed with PBE-GGA.

Cell and atoms, written as POSCAR:
```
YFeAu3
1.0
5.374 0.000 0.000
0.000 5.374 0.000
0.000 0.000 5.374
Y Fe Au
1 1 3
Direct
0.000 0.000 0.000
0.500 0.500 0.500
0.000 0.000 0.500
0.000 0.500 0.000
0.500 0.000 0.000
```

Calculated values
As for the crystal system: cubic.

***

Least stable = 2

***

1 | ZnFeAu after structural relaxation, computed with PBE-GGA.

Cell and atoms, written as POSCAR:
```
ZnFeAu
1.0
0.000 3.001 3.001
3.001 0.000 3.001
3.001 3.001 0.000
Zn Fe Au
1 1 1
Direct
0.000 0.000 0.000
0.500 0.500 0.500
0.750 0.750 0.750
```

Calculated values
As for the crystal system: cubic.

***

2 | ZnFeAu after structural relaxation, computed with PBE-GGA.

Cell and atoms, written as POSCAR:
```
ZnFeAu
1.0
-1.420 1.832 4.291
1.420 -1.832 4.291
1.420 1.832 -4.291
Zn Fe Au
1 1 1
Direct
0.000 0.000 0.000
0.348 0.348 0.000
0.675 0.675 0.000
```

Calculated values
As for the crystal system: orthorhombic.

***

3 | ZnFeAu after structural relaxation, computed with PBE-GGA.

Cell and atoms, written as POSCAR:
```
ZnFeAu
1.0
-1.393 1.393 5.715
1.393 -1.393 5.715
1.393 1.393 -5.715
Zn Fe Au
1 1 1
Direct
0.000 0.000 0.000
0.350 0.350 0.000
0.679 0.679 0.000
```

Calculated values
As for the crystal system: tetragonal.

***

Least stable = 1

***

1 | ZnFeAu after structural relaxation, computed with PBE-GGA.

Cell and atoms, written as POSCAR:
```
ZnFeAu
1.0
4.358 0.000 0.000
-2.179 3.774 0.000
0.000 0.000 2.741
Zn Fe Au
1 1 1
Direct
0.000 0.000 0.000
0.667 0.333 0.656
0.333 0.667 0.276
```

Calculated values
As for the crystal system: trigonal.

***

2 | ZnFeAu after structural relaxation, computed with PBE-GGA.

Cell and atoms, written as POSCAR:
```
ZnFeAu
1.0
3.034 0.000 0.000
0.000 3.034 0.000
0.000 0.000 9.537
Zn Fe Au
2 2 2
Direct
0.250 0.250 0.216
0.750 0.750 0.784
0.250 0.250 0.939
0.750 0.750 0.061
0.250 0.250 0.610
0.750 0.750 0.390
```

Calculated values
As for the crystal system: tetragonal.

***

Least stable = 1

***

1 | Zn2Fe2Au after structural relaxation, computed with PBE-GGA.

Cell and atoms, written as POSCAR:
```
Zn2Fe2Au
1.0
7.301 0.000 0.000
0.000 7.301 0.000
0.000 0.000 2.691
Zn Fe Au
4 4 2
Direct
0.181 0.319 0.000
0.319 0.819 0.000
0.681 0.181 0.000
0.819 0.681 0.000
0.113 0.613 0.500
0.387 0.113 0.500
0.613 0.887 0.500
0.887 0.387 0.500
0.000 0.000 0.500
0.500 0.500 0.500
```

Calculated values
As for the crystal system: tetragonal.

***

2 | Zn2Fe2Au after structural relaxation, computed with PBE-GGA.

Cell and atoms, written as POSCAR:
```
Zn2Fe2Au
1.0
7.027 0.000 0.000
0.000 7.027 0.000
0.000 0.000 2.883
Zn Fe Au
4 4 2
Direct
0.129 0.371 0.000
0.371 0.871 0.000
0.629 0.129 0.000
0.871 0.629 0.000
0.169 0.669 0.500
0.331 0.169 0.500
0.669 0.831 0.500
0.831 0.331 0.500
0.000 0.000 0.000
0.500 0.500 0.000
```

Calculated values
As for the crystal system: tetragonal.

***

Least stable = 2

***

1 | ZrFe2Au after structural relaxation, computed with PBE-GGA.

Cell and atoms, written as POSCAR:
```
ZrFe2Au
1.0
1.481 0.855 8.665
-1.481 0.855 8.665
0.000 -1.710 8.665
Zr Fe Au
1 2 1
Direct
0.000 0.000 0.000
0.487 0.487 0.487
0.754 0.754 0.754
0.237 0.237 0.237
```

Calculated values
As for the crystal system: trigonal.

***

2 | ZrFe2Au after structural relaxation, computed with PBE-GGA.

Cell and atoms, written as POSCAR:
```
ZrFe2Au
1.0
3.332 0.000 0.000
0.000 3.332 0.000
0.000 0.000 5.744
Zr Fe Au
1 2 1
Direct
0.000 0.000 0.000
0.500 0.500 0.257
0.500 0.500 0.743
0.000 0.000 0.500
```

Calculated values
As for the crystal system: tetragonal.

***

3 | ZrFe2Au after structural relaxation, computed with PBE-GGA.

Cell and atoms, written as POSCAR:
```
ZrFe2Au
1.0
4.034 0.000 0.000
0.000 4.034 0.000
0.000 0.000 3.751
Zr Fe Au
1 2 1
Direct
0.000 0.000 0.000
0.000 0.500 0.500
0.500 0.000 0.500
0.500 0.500 0.000
```

Calculated values
As for the crystal system: tetragonal.

***

4 | ZrFe2Au after structural relaxation, computed with PBE-GGA.

Cell and atoms, written as POSCAR:
```
ZrFe2Au
1.0
0.000 3.156 3.156
3.156 0.000 3.156
3.156 3.156 0.000
Zr Fe Au
1 2 1
Direct
0.000 0.000 0.000
0.250 0.250 0.250
0.750 0.750 0.750
0.500 0.500 0.500
```

Calculated values
As for the crystal system: cubic.

***

Least stable = 1

***

1 | Zr2FeAu after structural relaxation, computed with PBE-GGA.

Cell and atoms, written as POSCAR:
```
Zr2FeAu
1.0
-2.022 2.022 4.544
2.022 -2.022 4.544
2.022 2.022 -4.544
Zr Fe Au
2 1 1
Direct
0.000 0.000 0.000
0.750 0.250 0.500
0.500 0.500 0.000
0.250 0.750 0.500
```

Calculated values
As for the crystal system: tetragonal.

***

2 | Zr2FeAu after structural relaxation, computed with PBE-GGA.

Cell and atoms, written as POSCAR:
```
Zr2FeAu
1.0
5.402 -1.656 0.000
5.402 1.656 0.000
-1.936 0.000 4.148
Zr Fe Au
2 1 1
Direct
0.000 0.000 0.000
0.216 0.216 0.716
0.501 0.501 0.502
0.779 0.779 0.278
```

Calculated values
As for the crystal system: monoclinic.

***

Least stable = 1

***

1 | Zr2FeAu after structural relaxation, computed with PBE-GGA.

Cell and atoms, written as POSCAR:
```
Zr2FeAu
1.0
3.177 0.000 0.000
0.000 3.157 0.000
-0.010 0.000 7.275
Zr Fe Au
2 1 1
Direct
0.001 0.000 0.281
0.999 0.000 0.719
0.500 0.500 0.500
0.500 0.500 0.000
```

Calculated values
As for the crystal system: monoclinic.

***

2 | Zr2FeAu after structural relaxation, computed with PBE-GGA.

Cell and atoms, written as POSCAR:
```
Zr2FeAu
1.0
0.000 3.299 3.299
3.299 0.000 3.299
3.299 3.299 0.000
Zr Fe Au
2 1 1
Direct
0.000 0.000 0.000
0.250 0.250 0.250
0.750 0.750 0.750
0.500 0.500 0.500
```

Calculated values
As for the crystal system: cubic.

***

3 | Zr2FeAu after structural relaxation, computed with PBE-GGA.

Cell and atoms, written as POSCAR:
```
Zr2FeAu
1.0
3.423 0.000 0.000
0.000 3.423 0.000
0.000 0.000 6.429
Zr Fe Au
2 1 1
Direct
0.000 0.000 0.000
0.500 0.500 0.302
0.500 0.500 0.793
0.000 0.000 0.548
```

Calculated values
As for the crystal system: tetragonal.

***

4 | Zr2FeAu after structural relaxation, computed with PBE-GGA.

Cell and atoms, written as POSCAR:
```
Zr2FeAu
1.0
0.000 3.339 3.339
3.339 0.000 3.339
3.339 3.339 0.000
Zr Fe Au
2 1 1
Direct
0.250 0.250 0.250
0.750 0.750 0.750
0.000 0.000 0.000
0.500 0.500 0.500
```

Calculated values
As for the crystal system: cubic.

***

Least stable = 2

***

1 | Zr2FeAu after structural relaxation, computed with PBE-GGA.

Cell and atoms, written as POSCAR:
```
Zr2FeAu
1.0
2.318 -2.117 0.000
2.318 2.117 0.000
-0.386 0.000 7.367
Zr Fe Au
2 1 1
Direct
0.017 0.017 0.282
0.983 0.983 0.718
0.500 0.500 0.500
0.500 0.500 0.000
```

Calculated values
As for the crystal system: monoclinic.

***

2 | Zr2FeAu after structural relaxation, computed with PBE-GGA.

Cell and atoms, written as POSCAR:
```
Zr2FeAu
1.0
-3.652 3.652 2.839
3.652 -3.652 2.839
3.652 3.652 -2.839
Zr Fe Au
4 2 2
Direct
0.087 0.625 0.962
0.375 0.337 0.462
0.663 0.125 0.038
0.875 0.913 0.538
0.000 0.000 0.000
0.750 0.250 0.500
0.250 0.750 0.500
0.500 0.500 0.000
```

Calculated values
As for the crystal system: tetragonal.

***

Least stable = 2

***

1 | Zr2FeAu after structural relaxation, computed with PBE-GGA.

Cell and atoms, written as POSCAR:
```
Zr2FeAu
1.0
3.458 0.000 0.000
0.000 4.204 0.000
-1.720 0.000 5.163
Zr Fe Au
2 1 1
Direct
0.000 0.000 0.000
0.300 0.500 0.602
0.753 0.000 0.509
0.578 0.500 0.157
```

Calculated values
As for the crystal system: monoclinic.

***

2 | Zr2FeAu after structural relaxation, computed with PBE-GGA.

Cell and atoms, written as POSCAR:
```
Zr2FeAu
1.0
4.659 0.000 0.000
0.000 4.659 0.000
0.000 0.000 3.432
Zr Fe Au
2 1 1
Direct
0.000 0.500 0.000
0.500 0.000 0.000
0.000 0.000 0.500
0.500 0.500 0.500
```

Calculated values
As for the crystal system: tetragonal.

***

Least stable = 2

***

1 | Ga4Au after structural relaxation, computed with PBE-GGA.

Cell and atoms, written as POSCAR:
```
Ga4Au
1.0
5.004 0.000 0.000
0.000 5.004 0.000
0.000 0.000 5.004
Ga Au
4 1
Direct
0.000 0.000 0.000
0.000 0.500 0.500
0.500 0.000 0.500
0.500 0.500 0.000
0.500 0.500 0.500
```

Calculated values
As for the crystal system: cubic.

***

2 | Ga4Au after structural relaxation, computed with PBE-GGA.

Cell and atoms, written as POSCAR:
```
Ga4Au
1.0
-3.655 3.655 1.860
3.655 -3.655 1.860
3.655 3.655 -1.860
Ga Au
4 1
Direct
0.005 0.286 0.291
0.286 0.995 0.281
0.714 0.005 0.719
0.995 0.714 0.709
0.500 0.500 0.000
```

Calculated values
As for the crystal system: tetragonal.

***

Least stable = 1